1.
The following is a DFT calculation (GGA-PBE) of a geometry-optimized ReRuCl2 structure.

The space group is I-42d (No. 122) and the conventional cell measures 5.2648, 5.2648 and 10.9593 Å, with angles of 90.00, 90.00 and 90.00 degrees. The distinct sites, in fractional coordinates, are Re at (0.0000, 0.0000, 0.0000), Ru at (0.0000, 0.0000, 0.5000) and Cl at (0.2433, 0.2500, 0.1250).

For the formation energy from raw total energies, the calculation gives 1.273 eV per atom. For the spin magnetization, the calculation gives 4.50 Bohr magnetons per cell. Its energy relative to the lowest polymorph listed for this composition is 129.0 kJ per mole of atoms.



2.
The following is a DFT calculation (GGA-PBE) of a geometry-optimized Re2RuCl structure.

The space group is P4mm (No. 99) and the conventional cell measures 2.8733, 2.8733 and 7.2602 Å, with angles of 90.00, 90.00 and 90.00 degrees. The distinct sites, in fractional coordinates, are Re at (0.0000, 0.0000, 0.0000), Re at (0.5000, 0.5000, 0.2404), Ru at (0.0000, 0.0000, 0.4861) and Cl at (0.5000, 0.5000, 0.7459).

For the formation energy from raw total energies, the calculation gives 0.489 eV per atom. For the spin magnetization, the calculation gives 0.00 Bohr magnetons per cell. Its energy relative to the lowest polymorph listed for this composition is 13.0 kJ per mole of atoms.



3.
The following is a DFT calculation (GGA-PBE) of a geometry-optimized ReRuCl2 structure.

The space group is Immm (No. 71) and the conventional cell measures 2.8957, 4.4699 and 13.9293 Å, with angles of 90.00, 90.00 and 90.00 degrees. The distinct sites, in fractional coordinates, are Re at (0.0000, 0.0000, 0.0000), Ru at (0.0000, 0.0000, 0.5000) and Cl at (0.0000, 0.5000, 0.3594).

For the formation energy from raw total energies, the calculation gives 0.526 eV per atom. For the spin magnetization, the calculation gives 1.05 Bohr magnetons per cell. Its energy relative to the lowest polymorph listed for this composition is 57.0 kJ per mole of atoms.



4.
The following is a DFT calculation (GGA-PBE) of a geometry-optimized Re2RuCl structure.

The space group is P4/mmm (No. 123) and the conventional cell measures 3.5917, 3.5917 and 4.9308 Å, with angles of 90.00, 90.00 and 90.00 degrees. The distinct sites, in fractional coordinates, are Re at (0.0000, 0.5000, 0.0000), Ru at (0.0000, 0.0000, 0.5000) and Cl at (0.5000, 0.5000, 0.5000).

For the formation energy from raw total energies, the calculation gives 1.392 eV per atom. For the spin magnetization, the calculation gives 0.00 Bohr magnetons per cell. Its energy relative to the lowest polymorph listed for this composition is 100.2 kJ per mole of atoms.



5.
The following is a DFT calculation (GGA-PBE) of a geometry-optimized Re2RuCl structure.

The space group is C2/m (No. 12) and the conventional cell measures 10.1194, 2.8728 and 4.2455 Å, with angles of 90.00, 91.01 and 90.00 degrees. The distinct sites, in fractional coordinates, are Re at (0.2116, 0.0000, 0.2284), Ru at (0.0000, 0.5000, 0.0000) and Cl at (0.0000, 0.0000, 0.5000).

For the formation energy from raw total energies, the calculation gives 0.673 eV per atom. For the spin magnetization, the calculation gives 0.00 Bohr magnetons per cell. Its energy relative to the lowest polymorph listed for this composition is 30.8 kJ per mole of atoms.



6.
The following is a DFT calculation (GGA-PBE) of a geometry-optimized Re2RuCl structure.

The space group is Immm (No. 71) and the conventional cell measures 2.8759, 4.4583 and 9.0924 Å, with angles of 90.00, 90.00 and 90.00 degrees. The distinct sites, in fractional coordinates, are Re at (0.0000, 0.0000, 0.2292), Ru at (0.0000, 0.5000, 0.0000) and Cl at (0.0000, 0.5000, 0.5000).

For the formation energy from raw total energies, the calculation gives 0.834 eV per atom. For the spin magnetization, the calculation gives 0.00 Bohr magnetons per cell. Its energy relative to the lowest polymorph listed for this composition is 46.4 kJ per mole of atoms.



7.
The following is a DFT calculation (GGA-PBE) of a geometry-optimized Re2RuCl structure.

The space group is R3m (No. 160, hexagonal axes) and the conventional cell measures 2.8374, 2.8374 and 25.5820 Å, with angles of 90.00, 90.00 and 120.00 degrees. The distinct sites, in fractional coordinates, are Re at (0.0000, 0.0000, 0.0000), Re at (0.0000, 0.0000, 0.2481), Ru at (0.0000, 0.0000, 0.4991) and Cl at (0.0000, 0.0000, 0.7471).

For the formation energy from raw total energies, the calculation gives 0.354 eV per atom. For the spin magnetization, the calculation gives 0.00 Bohr magnetons per cell. Its energy relative to the lowest polymorph listed for this composition is 0.0 kJ per mole of atoms.



8.
The following is a DFT calculation (GGA-PBE) of a geometry-optimized ReRuCl3 structure.

The space group is Pm-3m (No. 221) and the conventional cell measures 4.7897, 4.7897 and 4.7897 Å, with angles of 90.00, 90.00 and 90.00 degrees. The distinct sites, in fractional coordinates, are Re at (0.0000, 0.0000, 0.0000), Ru at (0.5000, 0.5000, 0.5000) and Cl at (0.0000, 0.0000, 0.5000).

For the formation energy from raw total energies, the calculation gives 1.249 eV per atom. For the spin magnetization, the calculation gives 2.00 Bohr magnetons per cell. Its energy relative to the lowest polymorph listed for this composition is 18.6 kJ per mole of atoms.



9.
The following is a DFT calculation (GGA-PBE) of a geometry-optimized Re2RuCl structure.

The space group is Cmm2 (No. 35) and the conventional cell measures 2.8390, 4.8785 and 8.8945 Å, with angles of 90.00, 90.00 and 90.00 degrees. The distinct sites, in fractional coordinates, are Re at (0.0000, 0.0000, 0.0000), Re at (0.0000, 0.5000, 0.2504), Ru at (0.0000, 0.5000, 0.7528) and Cl at (0.0000, 0.0000, 0.5019).

For the formation energy from raw total energies, the calculation gives 0.662 eV per atom. For the spin magnetization, the calculation gives 1.09 Bohr magnetons per cell. Its energy relative to the lowest polymorph listed for this composition is 29.7 kJ per mole of atoms.



10.
The following is a DFT calculation (GGA-PBE) of a geometry-optimized ReRuSCl2 structure.

The space group is P4/mmm (No. 123) and the conventional cell measures 4.9621, 4.9621 and 4.4465 Å, with angles of 90.00, 90.00 and 90.00 degrees. The distinct sites, in fractional coordinates, are Re at (0.0000, 0.0000, 0.0000), Ru at (0.5000, 0.5000, 0.5000), S at (0.0000, 0.0000, 0.5000) and Cl at (0.0000, 0.5000, 0.0000).

For the formation energy from raw total energies, the calculation gives 0.971 eV per atom. For the spin magnetization, the calculation gives 3.65 Bohr magnetons per cell. Its energy relative to the lowest polymorph listed for this composition is 0.0 kJ per mole of atoms.



11.
The following is a DFT calculation (GGA-PBE) of a geometry-optimized ReRuSCl2 structure.

The space group is P4/mmm (No. 123) and the conventional cell measures 4.8622, 4.8622 and 4.5522 Å, with angles of 90.00, 90.00 and 90.00 degrees. The distinct sites, in fractional coordinates, are Re at (0.0000, 0.0000, 0.0000), Ru at (0.5000, 0.5000, 0.5000), S at (0.5000, 0.5000, 0.0000) and Cl at (0.0000, 0.5000, 0.5000).

For the formation energy from raw total energies, the calculation gives 1.089 eV per atom. For the spin magnetization, the calculation gives 4.80 Bohr magnetons per cell. Its energy relative to the lowest polymorph listed for this composition is 11.4 kJ per mole of atoms.



12.
The following is a DFT calculation (GGA-PBE) of a geometry-optimized YRe2RuCl structure.

The space group is P4/mmm (No. 123) and the conventional cell measures 4.4604, 4.4604 and 4.4497 Å, with angles of 90.00, 90.00 and 90.00 degrees. The distinct sites, in fractional coordinates, are Y at (0.0000, 0.0000, 0.0000), Re at (0.0000, 0.5000, 0.5000), Ru at (0.5000, 0.5000, 0.0000) and Cl at (0.5000, 0.5000, 0.5000).

For the formation energy from raw total energies, the calculation gives 0.987 eV per atom. For the spin magnetization, the calculation gives 0.00 Bohr magnetons per cell.